# CoBiAu2O8 | Alexandria via LeMat-Bulk | GGA+U | optimized geometry
data_CoBiAu2O8
_chemical_formula_sum 'Co2 Bi2 Au4 O16'
_symmetry_space_group_name_H-M 'I -4 m 2'
_symmetry_Int_Tables_number 119
_symmetry_space_group_name_Hall 'I -4 -2'
_cell_length_a 6.7515
_cell_length_b 6.7515
_cell_length_c 7.0010
_cell_angle_alpha 90.00
_cell_angle_beta 90.00
_cell_angle_gamma 90.00
loop_
_atom_site_label
_atom_site_type_symbol
_atom_site_fract_x
_atom_site_fract_y
_atom_site_fract_z
Co1 Co 0.0000 0.0000 0.0000
Bi1 Bi 0.0000 0.5000 0.7500
Au1 Au 0.0000 0.0000 0.5000
Au2 Au 0.0000 0.5000 0.2500
O1 O 0.0000 0.1720 0.7339
O2 O 0.0000 0.3123 0.0291
# uncorrected energy = -0.1690 hartree per atom